! LiI, relaxed, DFT GGA-PBE; values from VASP
&SYSTEM
  ibrav = 0, nat = 4, ntyp = 2
/
ATOMIC_SPECIES
Li 6.94 Li.upf
I 126.90 I.upf
ATOMIC_POSITIONS crystal
Li 0.0000 0.0000 0.0000
Li 0.0000 0.0000 0.5000
I 0.3333 0.6667 0.2500
I 0.6667 0.3333 0.7500
CELL_PARAMETERS angstrom
4.2322 0.0000 0.0000
-2.1161 3.6652 0.0000
0.0000 0.0000 6.9866
! Energy above the most stable polymorph in this dataset in eV per atom: 0.0364
! Density in g/cm3: 4.1
! E in eV for the cell shown: -11.65
! Formation energy from raw total energies in eV per atom: -1.1808
! D(E_F) in states/eV per cell: 0.000